Pm2PrEr4 | PBE | relaxed

Geometry as CIF:
```
data_Pm2PrEr4
_chemical_formula_sum 'Pm4 Pr2 Er8'
_symmetry_space_group_name_H-M 'P -1'
_symmetry_Int_Tables_number 2
_symmetry_space_group_name_Hall '-P 1'
_cell_length_a 5.948
_cell_length_b 6.602
_cell_length_c 12.971
_cell_angle_alpha 96.05
_cell_angle_beta 90.42
_cell_angle_gamma 114.84
loop_
_atom_site_label
_atom_site_fract_x
_atom_site_fract_y
_atom_site_fract_z
Pm1 0.001 0.498 0.249
Pm2 0.343 0.106 0.828
Pr1 0.342 0.105 0.327
Er1 0.074 0.779 0.528
Er2 0.074 0.780 0.027
Er3 0.476 0.331 0.595
Er4 0.479 0.332 0.094
```

Computed properties:
* total energy: -31.96 eV/f.u.
* total moment: 0.00 μB/f.u.
* calculated volume: 32.783 A^3/atom

Zn2CoSi | PBE | relaxed

Geometry as CIF:
```
data_Zn2CoSi
_chemical_formula_sum 'Zn4 Co2 Si2'
_symmetry_space_group_name_H-M 'I 4/m m m'
_symmetry_Int_Tables_number 139
_symmetry_space_group_name_Hall '-I 4 2'
_cell_length_a 3.569
_cell_length_b 3.569
_cell_length_c 7.927
_cell_angle_alpha 90.00
_cell_angle_beta 90.00
_cell_angle_gamma 90.00
loop_
_atom_site_label
_atom_site_fract_x
_atom_site_fract_y
_atom_site_fract_z
Zn1 0.000 0.500 0.250
Co1 0.000 0.000 0.000
Si1 0.000 0.000 0.500
```

Computed properties:
* total moment: 0.00 μB/f.u.
* calculated volume: 12.620 A^3/atom
* uncorrected formation energy: -0.029 eV/atom

ScAlPb2 | PBE | relaxed

Geometry as CIF:
```
data_ScAlPb2
_chemical_formula_sum 'Sc2 Al2 Pb4'
_symmetry_space_group_name_H-M 'C 1 m 1'
_symmetry_Int_Tables_number 8
_symmetry_space_group_name_Hall 'C -2y'
_cell_length_a 11.580
_cell_length_b 3.351
_cell_length_c 5.388
_cell_angle_alpha 90.00
_cell_angle_beta 109.17
_cell_angle_gamma 90.00
loop_
_atom_site_label
_atom_site_fract_x
_atom_site_fract_y
_atom_site_fract_z
Sc1 0.000 0.000 0.000
Al1 0.286 0.000 0.675
Pb1 0.033 0.500 0.519
Pb2 0.255 0.500 0.151
```

Computed properties:
* total energy: -17.76 eV/f.u.
* total moment: 0.00 μB/f.u.
* calculated volume: 24.686 A^3/atom

BeAlSeN2 | PBE | relaxed

Geometry as CIF:
```
data_BeAlSeN2
_chemical_formula_sum 'Be1 Al1 Se1 N2'
_symmetry_space_group_name_H-M 'P 4/m m m'
_symmetry_Int_Tables_number 123
_symmetry_space_group_name_Hall '-P 4 2'
_cell_length_a 3.589
_cell_length_b 3.589
_cell_length_c 5.891
_cell_angle_alpha 90.00
_cell_angle_beta 90.00
_cell_angle_gamma 90.00
loop_
_atom_site_label
_atom_site_fract_x
_atom_site_fract_y
_atom_site_fract_z
Be1 0.000 0.000 0.000
Al1 0.500 0.500 0.500
Se1 0.500 0.500 0.000
N1 0.000 0.500 0.500
```

Computed properties:
* total moment: 1.15 μB/f.u.
* calculated volume: 15.172 A^3/atom
* uncorrected formation energy: 0.769 eV/atom